1.
A geometry-optimized Pr3Mg3AgHg2 structure. Source: OQMD, functional PBE.

Geometry as POSCAR:
```
Pr3Mg3AgHg2
1.0
7.911 0.000 0.000
-3.956 6.851 0.000
0.000 0.000 4.380
Pr Mg Ag Hg
3 3 1 2
Cartesian
-1.631 2.824 0.000
3.261 0.000 0.000
2.325 4.027 0.000
-3.014 5.221 2.190
0.941 1.630 2.190
6.029 0.000 2.190
0.000 0.000 0.000
0.000 4.567 2.190
3.956 2.284 2.190
```

Results
Energy, eV per cell: -25.6
Space group: P-62m (189)
Mass density, g cm⁻³: 7.03

=====

2.
A geometry-optimized PrGa2CuNi structure. Source: OQMD, functional PBE.

Geometry as POSCAR:
```
PrGa2CuNi
1.0
4.268 0.000 0.000
0.000 4.268 0.000
0.000 0.000 9.787
Pr Ga Cu Ni
2 4 2 2
Cartesian
1.067 1.067 2.434
3.201 3.201 7.354
1.067 1.067 6.177
1.067 3.201 0.000
3.201 1.067 0.000
3.201 3.201 3.610
1.067 3.201 4.894
3.201 1.067 4.894
1.067 1.067 8.559
3.201 3.201 1.229
```

Results
Energy, eV per cell: -45.3
Space group: P4/nmm (129)
Mass density, g cm⁻³: 7.50

=====

3.
A geometry-optimized CdBiSb structure. Source: OQMD, functional PBE.

Geometry as POSCAR:
```
CdBiSb
1.0
8.243 0.000 0.000
0.000 4.142 0.000
0.000 0.000 10.074
Cd Bi Sb
4 4 4
Cartesian
1.001 1.035 2.180
3.121 3.106 7.217
5.122 1.035 2.856
7.242 3.106 7.893
1.222 1.035 8.887
2.899 3.106 3.850
5.343 1.035 6.224
7.021 3.106 1.187
1.000 1.035 5.558
3.121 3.106 0.521
5.122 1.035 9.553
7.242 3.106 4.516
```

Results
E above lowest polymorph, meV/atom: 27
Energy, eV per cell: -34.6
Space group: Pnma (62)
Mass density, g cm⁻³: 8.56

=====

4.
A geometry-optimized DyTmGe2Mo2C structure. Source: OQMD, functional PBE.

Geometry as POSCAR:
```
DyTmGe2Mo2C
1.0
5.588 -1.901 0.000
5.588 1.901 0.000
-4.026 0.000 5.945
Dy Tm Ge Mo C
1 1 2 2 1
Cartesian
0.000 0.000 0.000
7.872 0.000 2.523
3.049 0.000 0.318
4.817 0.000 2.199
-0.028 0.000 3.753
3.874 0.000 4.693
1.926 0.000 4.207
```

Results
Energy, eV per cell: -53.1
Space group: Cm (8)
Mass density, g cm⁻³: 8.95

=====

5.
A geometry-optimized BeFeBiB structure. Source: OQMD, functional PBE.

Geometry as POSCAR:
```
BeFeBiB
1.0
0.000 3.047 3.047
3.047 0.000 3.047
3.047 3.047 0.000
Be Fe Bi B
1 1 1 1
Cartesian
0.000 0.000 0.000
4.570 4.570 4.570
1.523 1.523 1.523
3.047 3.047 3.047
```

Results
E above lowest polymorph, meV/atom: 0
Energy, eV per cell: -17.9
Space group: F-43m (216)
Mass density, g cm⁻³: 8.36

=====

6.
A geometry-optimized PmTaB structure. Source: OQMD, functional PBE.

Geometry as POSCAR:
```
PmTaB
1.0
0.000 3.031 3.031
3.031 0.000 3.031
3.031 3.031 0.000
Pm Ta B
1 1 1
Cartesian
0.000 0.000 0.000
3.031 3.031 3.031
1.516 1.516 1.516
```

Results
E above lowest polymorph, meV/atom: 0
Energy, eV per cell: -21.8
Space group: F-43m (216)
Mass density, g cm⁻³: 10.04